HfTa2Ru2 | the Alexandria database | PBE | optimized geometry; formation energy = -179.4 meV per atom
1.0
7.524 0.000 0.000
0.000 7.524 0.000
0.000 0.000 3.098
Ru Hf Ta
4 2 4
direct
0.363 0.863 0.000 Ru
0.863 0.637 0.000 Ru
0.637 0.137 0.000 Ru
0.137 0.363 0.000 Ru
0.000 0.000 0.000 Hf
0.500 0.500 0.000 Hf
0.162 0.662 0.500 Ta
0.662 0.838 0.500 Ta
0.838 0.338 0.500 Ta
0.338 0.162 0.500 Ta

***

Hf3TaRu | the Alexandria database | PBE | optimized geometry; formation energy = 1430.0 meV per atom
1.0
4.978 0.000 0.000
0.000 4.978 0.000
0.000 0.000 4.978
Ru Hf Ta
1 3 1
direct
0.500 0.500 0.500 Ru
0.000 0.500 0.000 Hf
0.000 0.000 0.500 Hf
0.500 0.000 0.000 Hf
0.000 0.000 0.000 Ta

***

Table of DFT total energy (eV for the cell shown), in record order: -106.21, -43.84